1.
The following is a DFT calculation (PBE) of a relaxed structure of Tb2Pm12Sc.

The structure in POSCAR format:
```
Tb2Pm12Sc
1.0
6.540 0.000 0.000
0.000 6.540 0.000
0.000 0.000 25.022
Tb Pm Sc
4 24 2
Direct
0.250 0.750 0.232
0.250 0.750 0.768
0.750 0.250 0.232
0.750 0.250 0.768
0.064 0.564 0.392
0.064 0.936 0.608
0.082 0.582 0.937
0.082 0.918 0.063
0.250 0.250 0.165
0.250 0.250 0.289
0.250 0.250 0.711
0.250 0.250 0.835
0.418 0.582 0.063
0.418 0.918 0.937
0.436 0.564 0.608
0.436 0.936 0.392
0.564 0.064 0.608
0.564 0.436 0.392
0.582 0.082 0.063
0.582 0.418 0.937
0.750 0.750 0.165
0.750 0.750 0.289
0.750 0.750 0.711
0.750 0.750 0.835
0.918 0.082 0.937
0.918 0.418 0.063
0.936 0.064 0.392
0.936 0.436 0.608
0.250 0.750 0.500
0.750 0.250 0.500
```

Summary:
ΔE_f, eV/f.u.: 5.08
Space-group type: P4/nbm

2.
The following is a DFT calculation (PBE) of a relaxed structure of KNb3Cd.

The structure in POSCAR format:
```
KNb3Cd
1.0
4.672 0.000 0.000
0.000 4.672 0.000
0.000 0.000 4.672
K Nb Cd
1 3 1
Direct
0.000 0.000 0.000
0.000 0.000 0.500
0.000 0.500 0.000
0.500 0.000 0.000
0.500 0.500 0.500
```

Summary:
ΔE_f, eV/f.u.: 12.19
Space-group type: Pm-3m
ΔE to the lowest computed polymorph, eV per atom: 0.354

3.
The following is a DFT calculation (PBE) of a relaxed structure of TlVIBr2.

The structure in POSCAR format:
```
TlVIBr2
1.0
5.424 0.000 0.000
0.000 5.424 0.000
0.000 0.000 6.448
Tl V I Br
1 1 1 2
Direct
0.000 0.000 0.000
0.000 0.000 0.500
0.500 0.500 0.500
0.000 0.500 0.000
0.500 0.000 0.000
```

Summary:
Space-group type: P4/mmm
Energy relative to the elements, uncorrected, eV per formula unit: 2.14
ΔE to the lowest computed polymorph, eV per atom: 1.032

4.
The following is a DFT calculation (PBE) of a relaxed structure of HgGeSb2O.

The structure in POSCAR format:
```
HgGeSb2O
1.0
5.340 0.000 0.000
0.000 5.340 0.000
0.000 0.000 5.149
Hg Ge Sb O
1 1 2 1
Direct
0.000 0.000 0.000
0.000 0.000 0.500
0.000 0.500 0.500
0.500 0.000 0.500
0.500 0.500 0.000
```

Summary:
Space-group type: P4/mmm
Energy relative to the elements, uncorrected, eV per formula unit: 4.90

5.
The following is a DFT calculation (PBE) of a relaxed structure of TlRh2Se.

The structure in POSCAR format:
```
TlRh2Se
1.0
-2.275 2.275 8.103
2.275 -2.275 8.103
2.275 2.275 -8.103
Tl Rh Se
2 4 2
Direct
0.000 0.000 0.000
0.750 0.250 0.500
0.215 0.625 0.090
0.375 0.465 0.590
0.535 0.125 0.910
0.875 0.785 0.410
0.250 0.750 0.500
0.500 0.500 0.000
```

Summary:
Space-group type: I-42d
Energy relative to the elements, uncorrected, eV per formula unit: 0.39

6.
The following is a DFT calculation (PBE) of a relaxed structure of NaTlCoTe2.

The structure in POSCAR format:
```
NaTlCoTe2
1.0
5.845 0.000 0.000
0.000 5.845 0.000
0.000 0.000 5.430
Na Tl Co Te
1 1 1 2
Direct
0.000 0.000 0.000
0.000 0.000 0.500
0.500 0.500 0.000
0.000 0.500 0.500
0.500 0.000 0.500
```

Summary:
Space-group type: P4/mmm
Energy relative to the elements, uncorrected, eV per formula unit: 4.79

7.
The following is a DFT calculation (PBE) of a relaxed structure of UCo2H8Pt.

The structure in POSCAR format:
```
UCo2H8Pt
1.0
4.458 0.000 0.000
-2.229 3.861 0.000
0.000 0.000 6.097
U Co H Pt
1 2 8 1
Direct
0.000 0.000 0.000
0.333 0.667 0.116
0.667 0.333 0.884
0.174 0.349 0.323
0.174 0.826 0.323
0.333 0.667 0.865
0.349 0.174 0.677
0.651 0.826 0.323
0.667 0.333 0.135
0.826 0.174 0.677
0.826 0.651 0.677
0.000 0.000 0.500
```

Summary:
Space-group type: P-3m1
Calculated total energy, eV/atom: -4.855

8.
The following is a DFT calculation (PBE) of a relaxed structure of ScSbIr2.

The structure in POSCAR format:
```
ScSbIr2
1.0
4.251 0.000 0.000
0.000 4.251 0.000
0.000 0.000 3.778
Sc Sb Ir
1 1 2
Direct
0.000 0.000 0.000
0.500 0.500 0.000
0.000 0.500 0.500
0.500 0.000 0.500
```

Summary:
Space-group type: P4/mmm
Energy relative to the elements, uncorrected, eV per formula unit: -2.29

9.
The following is a DFT calculation (PBE) of a relaxed structure of CuReAg3.

The structure in POSCAR format:
```
CuReAg3
1.0
4.709 0.000 0.000
0.000 4.709 0.000
0.000 0.000 4.709
Cu Re Ag
1 1 3
Direct
0.000 0.000 0.000
0.500 0.500 0.500
0.000 0.000 0.500
0.000 0.500 0.000
0.500 0.000 0.000
```

Summary:
ΔE_f, eV/f.u.: 7.55
Space-group type: Pm-3m
ΔE to the lowest computed polymorph, eV per atom: 0.000

10.
The following is a DFT calculation (PBE) of a relaxed structure of ZrBeCr2.

The structure in POSCAR format:
```
ZrBeCr2
1.0
-1.599 2.035 4.223
1.599 -2.035 4.223
1.599 2.035 -4.223
Zr Be Cr
1 1 2
Direct
0.000 0.000 0.000
0.500 0.500 0.000
0.256 0.756 0.500
0.744 0.244 0.500
```

Summary:
ΔE_f, eV/f.u.: 1.38
Space-group type: Immm

11.
The following is a DFT calculation (PBE) of a relaxed structure of CsLiDySe2.

The structure in POSCAR format:
```
CsLiDySe2
1.0
3.640 -7.703 0.000
3.640 7.703 0.000
0.000 0.000 6.419
Cs Li Dy Se
2 2 2 4
Direct
0.250 0.750 0.775
0.750 0.250 0.225
0.000 0.000 0.000
0.500 0.500 0.000
0.250 0.250 0.500
0.750 0.750 0.500
0.105 0.895 0.288
0.395 0.605 0.288
0.605 0.395 0.712
0.895 0.105 0.712
```

Summary:
Space-group type: Cmme
Energy relative to the elements, uncorrected, eV per formula unit: -5.98

12.
The following is a DFT calculation (PBE) of a relaxed structure of Pu8OsRu2.

The structure in POSCAR format:
```
Pu8OsRu2
1.0
-2.548 3.277 6.845
2.548 -3.277 6.845
2.548 3.277 -6.845
Pu Os Ru
8 1 2
Direct
0.115 0.345 0.770
0.152 0.152 0.000
0.265 0.000 0.265
0.424 0.655 0.770
0.576 0.345 0.230
0.735 0.000 0.735
0.848 0.848 0.000
0.885 0.655 0.230
0.000 0.500 0.500
0.315 0.815 0.500
0.685 0.185 0.500
```

Summary:
ΔE_f, eV/f.u.: 0.14
Space-group type: Immm